Entry 1:
## MnHg2P (GGA-PBE)

Data for crystalline MnHg2P at its relaxed geometry.

a = 4.819 Å, b = 4.819 Å, c = 4.819 Å
α = 60.00°, β = 60.00°, γ = 60.00°
Atoms (fractional coordinates):
Mn 0.000 0.000 0.000
Hg 0.500 0.500 0.500
Hg 0.750 0.750 0.750
P 0.250 0.250 0.250

The total DFT energy (no corrections) comes out at -0.242 Ry per atom. The space-group type is F-43m (216). For the energy of formation from the pure elements, the calculation gives 0.502 eV/atom.

***

Entry 2:
## SrCaSi2 (GGA-PBE)

Data for crystalline SrCaSi2 at its relaxed geometry.

a = 5.224 Å, b = 5.224 Å, c = 5.224 Å
α = 60.00°, β = 60.00°, γ = 60.00°
Atoms (fractional coordinates):
Sr 0.000 0.000 0.000
Ca 0.750 0.750 0.750
Si 0.250 0.250 0.250
Si 0.500 0.500 0.500

The total DFT energy (no corrections) comes out at -0.249 Ry per atom. The value obtained for the energy above the most stable polymorph in this dataset is 742 meV/atom. The space-group type is F-43m (216).

***

Entry 3:
## FePb (GGA-PBE)

Data for crystalline FePb at its relaxed geometry.

a = 5.834 Å, b = 5.834 Å, c = 5.346 Å
α = 90.00°, β = 90.00°, γ = 90.00°
Atoms (fractional coordinates):
Fe 0.137 0.137 0.000
Fe 0.363 0.637 0.500
Fe 0.637 0.363 0.500
Fe 0.863 0.863 0.000
Pb 0.195 0.195 0.500
Pb 0.305 0.695 0.000
Pb 0.695 0.305 0.000
Pb 0.805 0.805 0.500

The total DFT energy (no corrections) comes out at -0.393 Ry per atom. The space-group type is P4_2/mnm (136). For the energy of formation from the pure elements, the calculation gives 0.737 eV/atom.

***

Entry 4:
## NaZnBr3O5 (GGA-PBE)

Data for crystalline NaZnBr3O5 at its relaxed geometry.

a = 7.281 Å, b = 7.281 Å, c = 7.281 Å
α = 52.92°, β = 52.92°, γ = 52.92°
Atoms (fractional coordinates):
Na 0.000 0.000 0.000
Zn 0.544 0.544 0.544
Br 0.160 0.524 0.878
Br 0.524 0.878 0.160
Br 0.878 0.160 0.524
O 0.256 0.256 0.256
O 0.466 0.884 0.677
O 0.677 0.466 0.884
O 0.693 0.693 0.693
O 0.884 0.677 0.466

The total DFT energy (no corrections) comes out at -0.230 Ry per atom. The space-group type is R3 (146).

***

Entry 5:
## Ba4GeHBr2 (GGA-PBE)

Data for crystalline Ba4GeHBr2 at its relaxed geometry.

a = 7.797 Å, b = 4.755 Å, c = 8.445 Å
α = 90.00°, β = 108.78°, γ = 90.00°
Atoms (fractional coordinates):
Ba 0.244 0.000 0.224
Ba 0.251 0.500 0.783
Ba 0.749 0.500 0.217
Ba 0.756 0.000 0.776
Ge 0.500 0.000 0.000
H 0.000 0.500 0.000
Br 0.000 0.000 0.500
Br 0.500 0.500 0.500

The total DFT energy (no corrections) comes out at -0.251 Ry per atom. The space-group type is P2/m (10).

***

Entry 6:
## V2SbS (GGA-PBE)

Data for crystalline V2SbS at its relaxed geometry.

a = 4.462 Å, b = 4.462 Å, c = 4.462 Å
α = 60.00°, β = 60.00°, γ = 60.00°
Atoms (fractional coordinates):
V 0.250 0.250 0.250
V 0.750 0.750 0.750
Sb 0.000 0.000 0.000
S 0.500 0.500 0.500

The total DFT energy (no corrections) comes out at -0.484 Ry per atom. The value obtained for the energy above the most stable polymorph in this dataset is 389 meV/atom. The space-group type is Fm-3m (225).